First-principles (GGA-PBE) data for a relaxed Rb2NaCu2Br6 crystal, as listed in Alexandria via LeMat-Bulk.

Cell lengths 7.477, 7.743, 8.651 Å; angles 114.21, 90.00, 118.87 degrees
Each line ends with the local moment (μB).
Fractional coordinates of all 11 atoms:
1 Rb 0.710 0.419 0.199  0.00
2 Rb 0.290 0.581 0.801  0.00
3 Na 0.500 0.000 0.500  0.00
4 Cu 0.944 0.888 0.745  0.28
5 Cu 0.056 0.112 0.255  0.28
6 Br 0.751 0.503 0.631  0.04
7 Br 0.196 0.884 0.199  0.07
8 Br 0.311 0.116 0.801  0.07
9 Br 0.804 0.116 0.801  0.07
10 Br 0.689 0.884 0.199  0.07
11 Br 0.249 0.497 0.369  0.04

**Total magnetic moment**: 1.1 Bohr magnetons per cell
**Uncorrected formation energy**: -1044.3 meV/atom
**Crystal system**: monoclinic
**Space-group type**: No. 12

***

First-principles (GGA-PBE) data for a relaxed Sr3Cd2Ag crystal, as listed in Alexandria via LeMat-Bulk.

Cell lengths 3.978, 3.978, 12.264 Å; angles 90.00, 90.00, 90.00 degrees
Fractional coordinates of all 6 atoms:
1 Sr 0.000 0.000 0.000
2 Sr 0.000 0.000 0.659
3 Sr 0.000 0.000 0.341
4 Cd 0.500 0.500 0.831
5 Cd 0.500 0.500 0.169
6 Ag 0.500 0.500 0.500

**E above lowest polymorph**: 0.000 eV/f.u.
**Total magnetic moment**: 0.0 Bohr magnetons per cell
**Crystal system**: tetragonal
**Space-group type**: No. 123

***

First-principles (GGA-PBE) data for a relaxed Zn2FeOs crystal, as listed in Alexandria via LeMat-Bulk.

Cell lengths 4.940, 4.940, 4.940 Å; angles 143.88, 129.78, 63.41 degrees
Each line ends with the local moment (μB).
Fractional coordinates of all 4 atoms:
1 Fe 0.250 0.750 0.500  2.56
2 Os 0.750 0.250 0.500  0.46
3 Zn 0.007 0.007 0.000  -0.02
4 Zn 0.493 0.493 0.000  -0.02

**E above lowest polymorph**: 0.337 eV/f.u.
**Total magnetic moment**: 3.0 Bohr magnetons per cell
**Crystal system**: orthorhombic
**Space-group type**: No. 71

***

First-principles (GGA-PBE) data for a relaxed TiNbSe2Br crystal, as listed in Alexandria via LeMat-Bulk.

Cell lengths 4.993, 4.993, 4.901 Å; angles 90.00, 90.00, 90.00 degrees
Each line ends with the local moment (μB).
Fractional coordinates of all 5 atoms:
1 Nb 0.500 0.500 0.500  2.73
2 Se 0.000 0.500 0.000  -0.13
3 Se 0.500 0.000 0.000  -0.13
4 Br 0.000 0.000 0.500  -0.01
5 Ti 0.000 0.000 0.000  0.66

**E above lowest polymorph**: 0.000 eV/f.u.
**Total magnetic moment**: 3.9 Bohr magnetons per cell
**Uncorrected formation energy**: 118.7 meV/atom
**Crystal system**: tetragonal
**Space-group type**: No. 123

***

First-principles (GGA-PBE) data for a relaxed Sm4GaTe2 crystal, as listed in Alexandria via LeMat-Bulk.

Cell lengths 4.198, 7.434, 14.737 Å; angles 90.00, 90.00, 106.40 degrees
Fractional coordinates of all 14 atoms:
1 Sm 0.790 0.580 0.132
2 Sm 0.790 0.580 0.368
3 Sm 0.210 0.420 0.868
4 Sm 0.210 0.420 0.632
5 Sm 0.953 0.906 0.750
6 Sm 0.047 0.094 0.250
7 Sm 0.500 0.000 0.000
8 Sm 0.500 0.000 0.500
9 Ga 0.602 0.205 0.750
10 Ga 0.398 0.795 0.250
11 Te 0.144 0.289 0.434
12 Te 0.856 0.711 0.934
13 Te 0.144 0.289 0.066
14 Te 0.856 0.711 0.566

**Total magnetic moment**: 0.0 Bohr magnetons per cell
**Uncorrected formation energy**: -891.5 meV/atom
**Crystal system**: orthorhombic
**Space-group type**: No. 63

***

First-principles (GGA-PBE) data for a relaxed V2H2Ir crystal, as listed in Alexandria via LeMat-Bulk.

Cell lengths 3.441, 3.441, 4.865 Å; angles 90.00, 90.00, 90.00 degrees
Fractional coordinates of all 5 atoms:
1 H 0.000 0.500 0.000
2 H 0.500 0.000 0.000
3 Ir 0.000 0.000 0.000
4 V 0.500 0.500 0.500
5 V 0.000 0.000 0.500

**E above lowest polymorph**: 4.539 eV/f.u.
**Total magnetic moment**: 0.0 Bohr magnetons per cell
**Crystal system**: tetragonal
**Space-group type**: No. 123

***

Copy entry 1 word for word.
First-principles (GGA-PBE) data for a relaxed Rb2NaCu2Br6 crystal, as listed in Alexandria via LeMat-Bulk.

Cell lengths 7.477, 7.743, 8.651 Å; angles 114.21, 90.00, 118.87 degrees
Each line ends with the local moment (μB).
Fractional coordinates of all 11 atoms:
1 Rb 0.710 0.419 0.199  0.00
2 Rb 0.290 0.581 0.801  0.00
3 Na 0.500 0.000 0.500  0.00
4 Cu 0.944 0.888 0.745  0.28
5 Cu 0.056 0.112 0.255  0.28
6 Br 0.751 0.503 0.631  0.04
7 Br 0.196 0.884 0.199  0.07
8 Br 0.311 0.116 0.801  0.07
9 Br 0.804 0.116 0.801  0.07
10 Br 0.689 0.884 0.199  0.07
11 Br 0.249 0.497 0.369  0.04

**Total magnetic moment**: 1.1 Bohr magnetons per cell
**Uncorrected formation energy**: -1044.3 meV/atom
**Crystal system**: monoclinic
**Space-group type**: No. 12